AcPm4Dy4 | Alexandria | PBE | optimized geometry; ρ = 7.89 g/cm3; magnetization = 0.0 Bohr magnetons per cell; formation enthalpy at 0 K = 30 meV/atom
1.0
6.305 0.000 0.000
-0.074 8.915 0.000
-2.092 -2.963 10.911
Ac Pm Dy
2 8 8
direct
0.168 0.417 0.251 Ac
0.832 0.583 0.749 Ac
0.055 0.808 0.419 Pm
0.057 0.303 0.915 Pm
0.171 0.918 0.749 Pm
0.280 0.024 0.083 Pm
0.720 0.976 0.917 Pm
0.829 0.082 0.251 Pm
0.943 0.697 0.085 Pm
0.945 0.192 0.581 Pm
0.279 0.527 0.584 Dy
0.390 0.639 0.920 Dy
0.392 0.136 0.420 Dy
0.497 0.248 0.749 Dy
0.503 0.752 0.251 Dy
0.608 0.864 0.580 Dy
0.610 0.361 0.080 Dy
0.721 0.473 0.416 Dy

=====

VHSe2 | Alexandria | PBE | optimized geometry; ρ = 4.88 g/cm3; VASP energy = -5.305 eV per atom; magnetization = 0.0 Bohr magnetons per cell
1.0
6.100 0.000 0.000
0.000 3.408 0.000
-1.783 0.000 6.867
V H Se
2 2 4
direct
0.186 0.250 0.013 V
0.814 0.750 0.987 V
0.268 0.750 0.609 H
0.732 0.250 0.391 H
0.152 0.750 0.256 Se
0.370 0.750 0.827 Se
0.630 0.250 0.173 Se
0.848 0.250 0.744 Se

=====

HfIn3I | Alexandria | PBE | optimized geometry; formation energy without anion corrections = 6.1 eV per formula unit; ρ = 5.25 g/cm3; magnetization = 1.4 Bohr magnetons per cell
1.0
5.903 0.000 0.000
0.000 5.903 0.000
0.000 0.000 5.903
Hf In I
1 3 1
direct
0.000 0.000 0.000 Hf
0.000 0.500 0.500 In
0.500 0.000 0.500 In
0.500 0.500 0.000 In
0.500 0.500 0.500 I

=====

Sm6Tl2Os | Alexandria | PBE | optimized geometry; ρ = 8.52 g/cm3; magnetization = 0.0 Bohr magnetons per cell; formation enthalpy at 0 K = -84 meV/atom
1.0
-2.643 3.690 7.502
2.643 -3.690 7.502
2.643 3.690 -7.502
Sm Tl Os
6 2 1
direct
0.088 0.348 0.741 Sm
0.222 0.000 0.222 Sm
0.393 0.652 0.741 Sm
0.607 0.348 0.259 Sm
0.778 0.000 0.778 Sm
0.912 0.652 0.259 Sm
0.333 0.833 0.500 Tl
0.667 0.167 0.500 Tl
0.000 0.500 0.500 Os

=====

KPuCu2Br6 | Alexandria | PBE | optimized geometry; formation energy without anion corrections = -10.7 eV per formula unit; ρ = 3.88 g/cm3; magnetization = 10.0 Bohr magnetons per cell
1.0
7.728 -6.455 0.000
7.728 6.455 0.000
-4.516 0.000 7.640
K Pu Cu Br
2 2 4 12
direct
0.123 0.877 0.750 K
0.877 0.123 0.250 K
0.263 0.737 0.250 Pu
0.737 0.263 0.750 Pu
0.112 0.430 0.100 Cu
0.430 0.112 0.600 Cu
0.570 0.888 0.400 Cu
0.888 0.570 0.900 Cu
0.014 0.199 0.005 Br
0.126 0.601 0.384 Br
0.199 0.014 0.505 Br
0.270 0.465 0.982 Br
0.399 0.874 0.116 Br
0.465 0.270 0.482 Br
0.535 0.730 0.518 Br
0.601 0.126 0.884 Br
0.730 0.535 0.018 Br
0.801 0.986 0.495 Br
0.874 0.399 0.616 Br
0.986 0.801 0.995 Br

=====

MgTe2Br | Alexandria | PBE | optimized geometry; formation energy without anion corrections = 0.2 eV per formula unit; ρ = 5.54 g/cm3; magnetization = 0.0 Bohr magnetons per cell
1.0
5.692 0.000 0.000
0.000 5.692 0.000
0.000 0.000 3.327
Mg Te Br
1 2 1
direct
0.000 0.000 0.000 Mg
0.000 0.500 0.500 Te
0.500 0.000 0.500 Te
0.500 0.500 0.000 Br

=====

Ac4Ni2Br | Alexandria | PBE | optimized geometry; formation energy without anion corrections = -3.7 eV per formula unit; ρ = 7.48 g/cm3; magnetization = 0.0 Bohr magnetons per cell
1.0
2.149 1.241 15.333
-2.149 1.241 15.333
0.000 -2.482 15.333
Ac Ni Br
4 2 1
direct
0.124 0.124 0.124 Ac
0.278 0.278 0.278 Ac
0.722 0.722 0.722 Ac
0.876 0.876 0.876 Ac
0.423 0.423 0.423 Ni
0.577 0.577 0.577 Ni
0.000 0.000 0.000 Br

=====

FeCo2Ni6 | Alexandria | PBE | optimized geometry; ρ = 7.88 g/cm3; magnetization = 20.8 Bohr magnetons per cell; formation enthalpy at 0 K = 471 meV/atom
1.0
5.181 0.000 0.000
0.000 5.181 0.000
0.000 0.000 8.260
Fe Co Ni
2 4 12
direct
0.000 0.000 0.000 Fe
0.500 0.500 0.500 Fe
0.000 0.500 0.250 Co
0.000 0.500 0.750 Co
0.500 0.000 0.250 Co
0.500 0.000 0.750 Co
0.000 0.000 0.280 Ni
0.000 0.000 0.720 Ni
0.117 0.301 0.500 Ni
0.199 0.383 0.000 Ni
0.301 0.883 0.500 Ni
0.383 0.801 0.000 Ni
0.500 0.500 0.220 Ni
0.500 0.500 0.780 Ni
0.617 0.199 0.000 Ni
0.699 0.117 0.500 Ni
0.801 0.617 0.000 Ni
0.883 0.699 0.500 Ni

=====

AsPb4Au3 | Alexandria | PBE | optimized geometry; ρ = 12.18 g/cm3; magnetization = 0.0 Bohr magnetons per cell; formation enthalpy at 0 K = -61 meV/atom
1.0
4.194 0.000 0.000
0.000 4.249 0.000
0.000 0.000 11.437
As Pb Au
1 4 3
direct
0.000 0.000 0.000 As
0.000 0.000 0.721 Pb
0.000 0.500 0.226 Pb
0.500 0.000 0.428 Pb
0.500 0.500 0.930 Pb
0.000 0.500 0.491 Au
0.500 0.000 0.163 Au
0.500 0.500 0.667 Au

=====

Be3Fe | Alexandria | PBE | optimized geometry; ρ = 4.04 g/cm3; magnetization = 1.6 Bohr magnetons per cell; formation enthalpy at 0 K = -213 meV/atom
1.0
3.243 0.000 0.000
0.000 3.243 0.000
0.000 0.000 3.243
Be Fe
3 1
direct
0.000 0.000 0.500 Be
0.000 0.500 0.000 Be
0.500 0.000 0.000 Be
0.500 0.500 0.500 Fe

=====

PrDy2ErSe6 | Alexandria | PBE | optimized geometry; formation energy without anion corrections = -18.4 eV per formula unit; ρ = 6.16 g/cm3; magnetization = 0.0 Bohr magnetons per cell
1.0
3.639 2.101 6.504
-3.639 2.101 6.504
0.000 -4.201 6.504
Pr Dy Er Se
1 2 1 6
direct
0.000 0.000 0.000 Pr
0.296 0.296 0.296 Dy
0.800 0.800 0.800 Dy
0.493 0.493 0.493 Er
0.089 0.682 0.416 Se
0.204 0.585 0.894 Se
0.416 0.089 0.682 Se
0.585 0.894 0.204 Se
0.682 0.416 0.089 Se
0.894 0.204 0.585 Se

=====

ScMnAlFe | Alexandria | PBE | optimized geometry; ρ = 5.34 g/cm3; magnetization = 3.0 Bohr magnetons per cell; formation enthalpy at 0 K = -177 meV/atom
1.0
0.000 3.051 3.051
3.051 0.000 3.051
3.051 3.051 0.000
Sc Mn Al Fe
1 1 1 1
direct
0.000 0.000 0.000 Sc
0.250 0.250 0.250 Mn
0.500 0.500 0.500 Al
0.750 0.750 0.750 Fe